<A>
A plane-wave DFT calculation with PBE was carried out for crystalline AlHg3O at its relaxed geometry.

For the density of states at the Fermi level, the calculation gives 2.53 states/eV/f.u.

The space group is Pm-3m (No. 221) and the conventional cell measures 4.8477, 4.8477 and 4.8477 Å, with angles of 90.00, 90.00 and 90.00 degrees. The asymmetric unit holds Al at (0.0000, 0.0000, 0.0000), Hg at (0.0000, 0.5000, 0.5000) and O at (0.5000, 0.5000, 0.5000).



<B>
A plane-wave DFT calculation with PBE was carried out for crystalline AlHg3O at its relaxed geometry.

For the density of states at the Fermi level, the calculation gives 9.50 states/eV/f.u.

The space group is Pm-3m (No. 221) and the conventional cell measures 5.2108, 5.2108 and 5.2108 Å, with angles of 90.00, 90.00 and 90.00 degrees. The asymmetric unit holds Al at (0.0000, 0.0000, 0.0000), Hg at (0.0000, 0.0000, 0.5000) and O at (0.5000, 0.5000, 0.5000).



Which structure loses on stability? <B> does.



<A>
A plane-wave DFT calculation with PBE was carried out for crystalline AlHgOs3 at its relaxed geometry.

For the density of states at the Fermi level, the calculation gives 6.08 states/eV/f.u.

The space group is Pm-3m (No. 221) and the conventional cell measures 4.4829, 4.4829 and 4.4829 Å, with angles of 90.00, 90.00 and 90.00 degrees. The asymmetric unit holds Al at (0.0000, 0.0000, 0.0000), Hg at (0.5000, 0.5000, 0.5000) and Os at (0.0000, 0.0000, 0.5000).



<B>
A plane-wave DFT calculation with PBE was carried out for crystalline AlHgOs3 at its relaxed geometry.

For the density of states at the Fermi level, the calculation gives 6.34 states/eV/f.u.

The space group is Pm-3m (No. 221) and the conventional cell measures 4.8931, 4.8931 and 4.8931 Å, with angles of 90.00, 90.00 and 90.00 degrees. The asymmetric unit holds Al at (0.0000, 0.0000, 0.0000), Hg at (0.5000, 0.5000, 0.5000) and Os at (0.0000, 0.5000, 0.5000).



Which structure loses on stability? <B> does.



<A>
A plane-wave DFT calculation with PBE was carried out for crystalline AlHgOs at its relaxed geometry.

For the density of states at the Fermi level, the calculation gives 1.89 states/eV/f.u.

The space group is I4mm (No. 107) and the conventional cell measures 3.1927, 3.1927 and 9.9137 Å, with angles of 90.00, 90.00 and 90.00 degrees. The asymmetric unit holds Al at (0.0000, 0.0000, 0.0000), Hg at (0.0000, 0.0000, 0.6967) and Os at (0.0000, 0.0000, 0.3904).



<B>
A plane-wave DFT calculation with PBE was carried out for crystalline AlHgOs at its relaxed geometry.

For the density of states at the Fermi level, the calculation gives 2.36 states/eV/f.u.

The space group is F-43m (No. 216) and the conventional cell measures 6.0075, 6.0075 and 6.0075 Å, with angles of 90.00, 90.00 and 90.00 degrees. The asymmetric unit holds Al at (0.0000, 0.0000, 0.0000), Hg at (0.2500, 0.2500, 0.2500) and Os at (0.2500, 0.2500, 0.7500).



Which structure loses on stability? <B> does.



<A>
A plane-wave DFT calculation with PBE was carried out for crystalline AlHgOs at its relaxed geometry.

For the density of states at the Fermi level, the calculation gives 1.24 states/eV/f.u.

The space group is P3m1 (No. 156) and the conventional cell measures 4.3451, 4.3451 and 3.1142 Å, with angles of 90.00, 90.00 and 120.00 degrees. The asymmetric unit holds Al at (0.0000, 0.0000, 0.0000), Hg at (0.6667, 0.3333, 0.5118) and Os at (0.3333, 0.6667, 0.0139).



<B>
A plane-wave DFT calculation with PBE was carried out for crystalline AlHgOs at its relaxed geometry.

For the density of states at the Fermi level, the calculation gives 2.52 states/eV/f.u.

The space group is Fmm2 (No. 42) and the conventional cell measures 3.0540, 4.9607 and 13.6764 Å, with angles of 90.00, 90.00 and 90.00 degrees. The asymmetric unit holds Al at (0.0000, 0.0000, 0.0000), Hg at (0.0000, 0.0000, 0.6793) and Os at (0.0000, 0.0000, 0.3614).



Which structure loses on stability? <B> does.



<A>
A plane-wave DFT calculation with PBE was carried out for crystalline AlHgP2 at its relaxed geometry.

For the density of states at the Fermi level, the calculation gives 2.05 states/eV/f.u.

The space group is P4/mmm (No. 123) and the conventional cell measures 4.8846, 4.8846 and 3.0006 Å, with angles of 90.00, 90.00 and 90.00 degrees. The asymmetric unit holds Al at (0.0000, 0.0000, 0.0000), Hg at (0.5000, 0.5000, 0.0000) and P at (0.0000, 0.5000, 0.5000).



<B>
A plane-wave DFT calculation with PBE was carried out for crystalline AlHgP2 at its relaxed geometry.

For the density of states at the Fermi level, the calculation gives 1.50 states/eV/f.u.

The space group is Cmmm (No. 65) and the conventional cell measures 3.5008, 4.5723 and 9.8862 Å, with angles of 90.00, 90.00 and 90.00 degrees. The asymmetric unit holds Al at (0.0000, 0.0000, 0.0000), Hg at (0.0000, 0.0000, 0.5000) and P at (0.0000, 0.5000, 0.1810).



Which structure loses on stability? <A> does.



<A>
A plane-wave DFT calculation with PBE was carried out for crystalline AlHgP2 at its relaxed geometry.

For the density of states at the Fermi level, the calculation gives 2.32 states/eV/f.u.

The space group is F-43m (No. 216) and the conventional cell measures 6.5989, 6.5989 and 6.5989 Å, with angles of 90.00, 90.00 and 90.00 degrees. The asymmetric unit holds Al at (0.0000, 0.0000, 0.0000), Hg at (0.2500, 0.2500, 0.2500), P at (0.0000, 0.0000, 0.5000) and P at (0.2500, 0.2500, 0.7500).



<B>
A plane-wave DFT calculation with PBE was carried out for crystalline AlHgP2 at its relaxed geometry.

For the density of states at the Fermi level, the calculation gives 1.05 states/eV/f.u.

The space group is Cmm2 (No. 35) and the conventional cell measures 3.1366, 5.3681 and 9.4148 Å, with angles of 90.00, 90.00 and 90.00 degrees. The asymmetric unit holds Al at (0.0000, 0.0000, 0.0000), Hg at (0.0000, 0.5000, 0.2854), P at (0.0000, 0.0000, 0.6028) and P at (0.0000, 0.5000, 0.7669).



Which structure loses on stability? <A> does.



<A>
A plane-wave DFT calculation with PBE was carried out for crystalline AlHgP2 at its relaxed geometry.

For the density of states at the Fermi level, the calculation gives 2.12 states/eV/f.u.

The space group is Fm-3m (No. 225) and the conventional cell measures 6.5977, 6.5977 and 6.5977 Å, with angles of 90.00, 90.00 and 90.00 degrees. The asymmetric unit holds Al at (0.0000, 0.0000, 0.0000), Hg at (0.0000, 0.0000, 0.5000) and P at (0.2500, 0.2500, 0.2500).



<B>
A plane-wave DFT calculation with PBE was carried out for crystalline AlHgP2 at its relaxed geometry.

For the density of states at the Fermi level, the calculation gives 3.53 states/eV/f.u.

The space group is I-42d (No. 122) and the conventional cell measures 5.7394, 5.7394 and 11.2344 Å, with angles of 90.00, 90.00 and 90.00 degrees. The asymmetric unit holds Al at (0.0000, 0.0000, 0.0000), Hg at (0.0000, 0.0000, 0.5000) and P at (0.2226, 0.2500, 0.1250).



<C>
A plane-wave DFT calculation with PBE was carried out for crystalline AlHgP2 at its relaxed geometry.

For the density of states at the Fermi level, the calculation gives 1.48 states/eV/f.u.

The space group is Cm (No. 8) and the conventional cell measures 7.5063, 3.2493 and 7.5574 Å, with angles of 90.00, 118.37 and 90.00 degrees. The asymmetric unit holds Al at (0.0000, 0.0000, 0.0000), Hg at (0.3102, 0.0000, 0.6707), P at (0.3682, 0.0000, 0.1826) and P at (0.4269, 0.5000, 0.4118).



<D>
A plane-wave DFT calculation with PBE was carried out for crystalline AlHgP2 at its relaxed geometry.

For the density of states at the Fermi level, the calculation gives 2.38 states/eV/f.u.

The space group is C2/m (No. 12) and the conventional cell measures 5.4635, 7.3958 and 4.5383 Å, with angles of 90.00, 125.59 and 90.00 degrees. The asymmetric unit holds Al at (0.0000, 0.0000, 0.0000), Hg at (0.0000, 0.5000, 0.0000) and P at (0.2500, 0.2500, 0.5000).



Which structure loses on stability? <A> does.



<A>
A plane-wave DFT calculation with PBE was carried out for crystalline AlHgP2 at its relaxed geometry.

For the density of states at the Fermi level, the calculation gives 1.54 states/eV/f.u.

The space group is C2/m (No. 12) and the conventional cell measures 10.1802, 3.1847 and 5.3816 Å, with angles of 90.00, 102.25 and 90.00 degrees. The asymmetric unit holds Al at (0.0000, 0.0000, 0.0000), Hg at (0.0000, 0.5000, 0.5000) and P at (0.2036, 0.5000, 0.1049).



<B>
A plane-wave DFT calculation with PBE was carried out for crystalline AlHgP2 at its relaxed geometry.

For the density of states at the Fermi level, the calculation gives 1.62 states/eV/f.u.

The space group is Pmm2 (No. 25) and the conventional cell measures 3.4634, 3.4981 and 6.7131 Å, with angles of 90.00, 90.00 and 90.00 degrees. The asymmetric unit holds Al at (0.0000, 0.0000, 0.0000), Hg at (0.5000, 0.5000, 0.5304), P at (0.0000, 0.0000, 0.3574) and P at (0.5000, 0.5000, 0.9076).



<C>
A plane-wave DFT calculation with PBE was carried out for crystalline AlHgP2 at its relaxed geometry.

For the density of states at the Fermi level, the calculation gives 1.70 states/eV/f.u.

The space group is P2/m (No. 10) and the conventional cell measures 4.2600, 3.6882 and 5.5225 Å, with angles of 90.00, 108.52 and 90.00 degrees. The asymmetric unit holds Al at (0.0000, 0.0000, 0.0000), Hg at (0.5000, 0.0000, 0.5000) and P at (0.2721, 0.5000, 0.8384).



Which structure loses on stability? <A> does.